1.
Density functional theory data (PBE) for crystalline BaTa2Cu at its relaxed geometry.

Values from the calculation:
Theoretical density (g/cm³): 10.74
Density of states at the Fermi level (states/eV/f.u.): 4.56
Energy above the most stable polymorph in this dataset (eV per formula unit): 0.36
Calculated formation energy (eV/atom): 0.593

a = 3.0408 Å, b = 3.0408 Å, c = 9.4918 Å
α = 90.00°, β = 90.00°, γ = 97.56°
Closest atoms and distances in Å follow each position.
Fractional positions:
Ba1 0.0000 0.0000 0.0000  4 Ba 3.04, 2 Cu 3.28
Ta1 0.0000 0.0000 0.4539  4 Cu 2.64-2.86, 2 Ta 2.87
Ta2 0.5000 0.5000 0.6709  8 Ta 2.87-3.08
Cu1 0.5000 0.5000 0.2729  4 Ta 2.64-2.86

2.
Density functional theory data (PBE) for crystalline Ho4Tl3Cd at its relaxed geometry.

Values from the calculation:
Theoretical density (g/cm³): 10.42
Density of states at the Fermi level (states/eV/f.u.): 6.57
Energy above the most stable polymorph in this dataset (eV per formula unit): 0.36
Calculated formation energy (eV/atom): -0.283

a = 3.8097 Å, b = 4.8389 Å, c = 11.9716 Å
α = 90.00°, β = 90.00°, γ = 90.00°
Closest atoms and distances in Å follow each position.
Fractional positions:
Ho1 0.0000 0.0000 0.0000  5 Tl 3.14-3.18, 2 Cd 3.35
Ho2 0.0000 0.5000 0.3010  3 Tl 3.13-3.38, 4 Cd 3.19
Ho3 0.5000 0.0000 0.4942  1 Cd 3.16, 6 Tl 3.19-3.48
Ho4 0.5000 0.5000 0.8019  7 Tl 3.17-3.44
Tl1 0.0000 0.0000 0.7380  7 Ho 3.14-3.48, 2 Tl 3.20
Tl2 0.0000 0.5000 0.5629  7 Ho 3.13-3.44, 2 Tl 3.20
Tl3 0.5000 0.5000 0.0677  2 Cd 3.11, 7 Ho 3.18-3.38
Cd1 0.5000 0.0000 0.2305  2 Tl 3.11, 7 Ho 3.16-3.35